This record from the Alexandria database describes a relaxed structure of PaAl8CrSi2. The functional is PBE.

Computed properties:
energy = -4.95 eV per atom
symmetry = C2/m, No. 12
uncorrected formation energy = 0.047 eV/atom

a = 4.6507 Å, b = 4.6507 Å, c = 10.7512 Å
α = 97.74°, β = 97.74°, γ = 67.62°
Fractional coordinates of all 12 atoms:
1 Pa 0.0000 0.0000 0.0000
2 Al 0.2293 0.7398 0.7040
3 Al 0.2602 0.7707 0.2960
4 Al 0.2900 0.2900 0.8457
5 Al 0.3254 0.3254 0.4625
6 Al 0.6746 0.6746 0.5375
7 Al 0.7100 0.7100 0.1543
8 Al 0.7398 0.2293 0.7040
9 Al 0.7707 0.2602 0.2960
10 Cr 0.0000 0.0000 0.5000
11 Si 0.3711 0.3711 0.0979
12 Si 0.6289 0.6289 0.9021